{"formula": "Pm2TmTe2N2", "functional": "PBE", "state": "optimized geometry", "lattice_angstrom": [[4.3749, 0.0000, 0.0000], [0.0000, 4.3749, 0.0000], [-2.1874, -2.1874, 8.1790]], "species": ["Pm", "Pm", "Tm", "Te", "Te", "N", "N"], "fractional_positions": [[0.3984, 0.3984, 0.7967], [0.6016, 0.6016, 0.2033], [0.0000, 0.0000, 0.0000], [0.1854, 0.1854, 0.3707], [0.8146, 0.8146, 0.6293], [0.0000, 0.5000, 0.0000], [0.5000, 0.0000, 0.0000]], "e_tot_ev_per_atom": -6.528, "sg": "I4/mmm, No. 139", "volume_a3_per_atom": 22.36}


{"formula": "Al2In", "functional": "PBE", "state": "optimized geometry", "lattice_angstrom": [[1.4826, -9.7028, 0.0000], [1.4826, 9.7028, 0.0000], [0.0000, 0.0000, 4.4460]], "species": ["Al", "Al", "Al", "Al", "In", "In"], "fractional_positions": [[0.5890, 0.4110, 0.7500], [0.9547, 0.0453, 0.7500], [0.0453, 0.9547, 0.2500], [0.4110, 0.5890, 0.2500], [0.3042, 0.6958, 0.7500], [0.6958, 0.3042, 0.2500]], "e_tot_ev_per_atom": -3.290, "sg": "Cmcm, No. 63", "volume_a3_per_atom": 21.32, "formation_energy_ev_per_atom": 0.1182}


{"formula": "CaY5Bi4", "functional": "PBE", "state": "optimized geometry", "lattice_angstrom": [[4.4343, 0.0000, 0.0000], [0.0000, 7.6013, -2.1045], [-2.2172, -3.0110, 10.9490]], "species": ["Ca", "Y", "Y", "Y", "Y", "Y", "Bi", "Bi", "Bi", "Bi"], "fractional_positions": [[0.5000, 0.0000, 0.0000], [0.8140, 0.7132, 0.6281], [0.8073, 0.2287, 0.6146], [0.1927, 0.7713, 0.3854], [0.5000, 0.5000, 0.0000], [0.1860, 0.2868, 0.3719], [0.3600, 0.0522, 0.7200], [0.9384, 0.6524, 0.8768], [0.6400, 0.9478, 0.2800], [0.0616, 0.3476, 0.1232]], "e_tot_ev_per_atom": -5.595, "sg": "C2/m, No. 12", "volume_a3_per_atom": 34.10, "formation_energy_ev_per_atom": -0.6106}


{"formula": "ReTcRh", "functional": "PBE", "state": "optimized geometry", "lattice_angstrom": [[-2.2460, -4.1942, 0.1463], [1.8289, -3.7481, -2.2942], [0.6200, 3.3376, 3.3366]], "species": ["Re", "Rh", "Tc"], "fractional_positions": [[0.0025, 0.0025, 0.0000], [0.3335, 0.3335, 0.0000], [0.6640, 0.6640, 0.0000]], "e_tot_ev_per_atom": -10.067, "sg": "Imm2, No. 44", "volume_a3_per_atom": 14.56, "e_above_lowest_polymorph_ev_per_fu": 0.23, "formation_energy_ev_per_atom": -0.0114}


{"formula": "MnOsPb2Au", "functional": "PBE", "state": "optimized geometry", "lattice_angstrom": [[5.3314, 0.0000, 0.0000], [0.0000, 4.8002, 0.0000], [0.0000, 0.0000, 5.3314]], "species": ["Pb", "Pb", "Os", "Mn", "Au"], "fractional_positions": [[0.0000, 0.0000, 0.5000], [0.5000, 0.0000, 0.0000], [0.5000, 0.5000, 0.5000], [0.0000, 0.5000, 0.0000], [0.0000, 0.0000, 0.0000]], "e_tot_ev_per_atom": -4.204, "sg": "P4/mmm, No. 123", "volume_a3_per_atom": 27.29, "formation_energy_ev_per_atom": 2.0145}


{"formula": "LiUBiO5", "functional": "PBE", "state": "optimized geometry", "lattice_angstrom": [[5.9278, -0.2042, 0.0646], [-1.9257, 5.6100, 0.0646], [-1.5658, -2.1150, 7.1329]], "species": ["Li", "Li", "U", "U", "Bi", "Bi", "O", "O", "O", "O", "O", "O", "O", "O", "O", "O"], "fractional_positions": [[0.6966, 0.3034, 0.2500], [0.3034, 0.6966, 0.7500], [0.0000, 0.0000, 0.5000], [0.0000, 0.0000, 0.0000], [0.3876, 0.6124, 0.2500], [0.6124, 0.3876, 0.7500], [0.1001, 0.8999, 0.2500], [0.8999, 0.1001, 0.7500], [0.9603, 0.2968, 0.1362], [0.0397, 0.7032, 0.8638], [0.7032, 0.0397, 0.3638], [0.2968, 0.9603, 0.6362], [0.7277, 0.6115, 0.4360], [0.2723, 0.3885, 0.5640], [0.3885, 0.2723, 0.0640], [0.6115, 0.7277, 0.9360]], "e_tot_ev_per_atom": -7.535, "sg": "C2/c, No. 15", "volume_a3_per_atom": 14.75}


{"formula": "Tm3Mg2Cd4", "functional": "PBE", "state": "optimized geometry", "lattice_angstrom": [[-1.9485, -4.5193, -0.8393], [3.1616, 2.2503, -4.6082], [4.7068, -3.3692, 7.2151]], "species": ["Tm", "Tm", "Tm", "Mg", "Mg", "Cd", "Cd", "Cd", "Cd"], "fractional_positions": [[0.6644, 0.3289, 0.6699], [0.0000, 0.0000, 0.0000], [0.3356, 0.6711, 0.3301], [0.6163, 0.2326, 0.2842], [0.3837, 0.7674, 0.7158], [0.7226, 0.4451, 0.0592], [0.2774, 0.5549, 0.9408], [0.9429, 0.8858, 0.6118], [0.0571, 0.1142, 0.3882]], "e_tot_ev_per_atom": -2.488, "sg": "C2/m, No. 12", "volume_a3_per_atom": 24.17, "formation_energy_ev_per_atom": -0.2364}


{"formula": "Tc3GeF", "functional": "PBE", "state": "optimized geometry", "lattice_angstrom": [[4.1954, 0.0000, 0.0000], [0.0000, 4.1954, 0.0000], [0.0000, 0.0000, 4.1954]], "species": ["Ge", "Tc", "Tc", "Tc", "F"], "fractional_positions": [[0.5000, 0.5000, 0.5000], [0.0000, 0.5000, 0.0000], [0.0000, 0.0000, 0.5000], [0.5000, 0.0000, 0.0000], [0.0000, 0.0000, 0.0000]], "e_tot_ev_per_atom": -6.619, "sg": "Pm-3m, No. 221", "volume_a3_per_atom": 14.77, "e_above_lowest_polymorph_ev_per_fu": 0.00}